Ac2SiAgSe6 (PBE, relaxed); uncorrected formation energy = -1.07 eV per atom; N(E_F) = 0.55 states/eV/atom
1.0
6.379 0.000 -0.002
0.000 7.998 0.000
0.029 0.000 10.158
Ac Si Se Ag
4 2 12 2
direct
0.936 0.110 0.755 Ac
0.564 0.610 0.745 Ac
0.436 0.390 0.255 Ac
0.064 0.890 0.245 Ac
0.000 0.500 0.000 Si
0.500 0.000 0.500 Si
0.661 0.307 0.541 Se
0.913 0.515 0.237 Se
0.821 0.840 0.534 Se
0.587 0.015 0.263 Se
0.321 0.660 0.034 Se
0.087 0.485 0.763 Se
0.161 0.193 0.041 Se
0.413 0.985 0.737 Se
0.339 0.693 0.459 Se
0.179 0.160 0.466 Se
0.839 0.807 0.959 Se
0.679 0.340 0.966 Se
0.500 0.000 0.000 Ag
0.000 0.500 0.500 Ag

AcAgSn2Se4 (PBE, relaxed); uncorrected formation energy = -0.82 eV per atom
1.0
-1.818 3.471 -1.770
-2.372 -5.882 -3.878
-11.548 -1.381 9.157
Sn Se Ag Ac
4 8 2 2
direct
0.373 0.745 0.556 Sn
0.627 0.255 0.444 Sn
0.373 0.745 0.944 Sn
0.627 0.255 0.056 Sn
0.000 0.000 0.000 Se
0.282 0.563 0.121 Se
0.000 0.000 0.500 Se
0.282 0.563 0.379 Se
0.718 0.437 0.879 Se
0.536 0.072 0.250 Se
0.718 0.437 0.621 Se
0.464 0.928 0.750 Se
0.853 0.707 0.750 Ag
0.147 0.293 0.250 Ag
0.878 0.757 0.250 Ac
0.122 0.243 0.750 Ac

AcAgSnSe3 (PBE, relaxed); uncorrected formation energy = -1.00 eV per atom; N(E_F) = 0.00 states/eV/atom
1.0
-0.538 3.286 -2.648
-5.906 -4.704 -4.638
-5.562 4.189 6.326
Ag Se Sn Ac
2 6 2 2
direct
0.750 0.909 0.417 Ag
0.250 0.091 0.583 Ag
0.750 0.902 0.125 Se
0.250 0.765 0.518 Se
0.250 0.589 0.850 Se
0.750 0.235 0.482 Se
0.750 0.411 0.150 Se
0.250 0.098 0.875 Se
0.750 0.340 0.843 Sn
0.250 0.660 0.157 Sn
0.750 0.828 0.773 Ac
0.250 0.172 0.227 Ac

AcAg2SnSe4 (PBE, relaxed); uncorrected formation energy = -0.69 eV per atom; N(E_F) = 0.79 states/eV/atom
1.0
-7.052 2.035 0.134
-4.689 -2.769 -3.647
-4.567 -2.831 3.753
Ag Ac Se Sn
2 1 4 1
direct
0.188 0.312 0.312 Ag
0.812 0.688 0.688 Ag
0.000 0.000 0.000 Ac
0.079 0.916 0.475 Se
0.471 0.084 0.525 Se
0.529 0.475 0.916 Se
0.921 0.525 0.084 Se
0.500 0.500 0.500 Sn

Sr3Ac3AgSe8 (PBE, relaxed); uncorrected formation energy = -1.73 eV per atom
1.0
-4.389 -0.222 -7.693
4.050 -7.284 3.001
-7.293 3.011 4.074
Ac Se Sr Ag
3 8 3 1
direct
0.000 0.500 0.500 Ac
0.500 0.000 0.500 Ac
0.500 0.500 0.500 Ac
0.244 0.487 0.739 Se
0.756 0.005 0.261 Se
0.244 0.995 0.739 Se
0.751 0.995 0.739 Se
0.250 0.499 0.249 Se
0.750 0.501 0.751 Se
0.756 0.513 0.261 Se
0.249 0.005 0.261 Se
0.000 0.000 0.000 Sr
0.500 0.500 0.000 Sr
0.000 0.500 0.000 Sr
0.000 0.000 0.500 Ag

SrAcAg2Se4 (PBE, relaxed); uncorrected formation energy = -1.12 eV per atom; N(E_F) = 0.04 states/eV/atom
1.0
-0.628 -6.519 3.462
4.324 -4.960 -0.630
2.940 -1.443 5.742
Sr Ag Se Ac
1 2 4 1
direct
0.500 0.500 0.500 Sr
0.751 0.749 0.749 Ag
0.249 0.251 0.251 Ag
0.000 0.500 0.000 Se
0.500 0.500 0.000 Se
0.000 0.000 0.500 Se
0.500 0.000 0.500 Se
0.000 0.000 0.000 Ac

SrAcAgSe3 (PBE, relaxed); uncorrected formation energy = -1.54 eV per atom
1.0
-3.027 -2.428 -1.971
-2.182 -3.713 7.925
-5.872 7.442 -0.153
Se Sr Ac Ag
6 2 2 2
direct
0.250 0.582 0.841 Se
0.750 0.232 0.490 Se
0.750 0.904 0.134 Se
0.750 0.418 0.159 Se
0.250 0.768 0.510 Se
0.250 0.096 0.866 Se
0.750 0.824 0.774 Sr
0.250 0.176 0.226 Sr
0.750 0.331 0.820 Ac
0.250 0.669 0.180 Ac
0.750 0.914 0.422 Ag
0.250 0.086 0.578 Ag

Sr2AcAgSe4 (PBE, relaxed); uncorrected formation energy = -1.61 eV per atom
1.0
-2.948 -2.513 -2.198
-2.643 -2.601 6.520
-3.857 6.336 -2.071
Se Ac Sr Ag
4 1 2 1
direct
0.000 0.252 0.750 Se
0.000 0.748 0.250 Se
0.500 0.243 0.240 Se
0.500 0.757 0.760 Se
0.500 0.500 0.000 Ac
0.500 0.000 0.500 Sr
0.000 0.500 0.500 Sr
0.000 0.000 0.000 Ag

Sr2AcAg2Se4 (PBE, relaxed); uncorrected formation energy = -1.31 eV per atom; N(E_F) = 0.25 states/eV/atom
1.0
4.227 0.000 0.000
0.000 8.104 -0.042
-2.114 -3.232 7.327
Ag Sr Ac Se
2 2 1 4
direct
0.692 0.018 0.383 Ag
0.308 0.982 0.617 Ag
0.863 0.417 0.727 Sr
0.137 0.583 0.273 Sr
0.000 0.000 0.000 Ac
0.796 0.738 0.592 Se
0.522 0.732 0.044 Se
0.478 0.268 0.956 Se
0.204 0.262 0.408 Se

Ac2TbAgSe5 (PBE, relaxed); uncorrected formation energy = -1.68 eV per atom
1.0
4.304 0.000 0.000
-2.152 9.043 0.000
0.000 0.000 12.807
Tb Se Ac Ag
2 10 4 2
direct
0.194 0.389 0.009 Tb
0.806 0.611 0.509 Tb
0.498 0.996 0.772 Se
0.356 0.712 0.002 Se
0.289 0.577 0.664 Se
0.953 0.906 0.571 Se
0.644 0.288 0.502 Se
0.502 0.004 0.272 Se
0.711 0.423 0.164 Se
0.306 0.611 0.352 Se
0.694 0.389 0.852 Se
0.047 0.094 0.071 Se
0.889 0.777 0.186 Ac
0.875 0.750 0.809 Ac
0.125 0.250 0.309 Ac
0.111 0.223 0.686 Ac
0.443 0.887 0.458 Ag
0.557 0.113 0.958 Ag

| no. | volume (Å³ per cell) | density (Mg/m³) |
| --- | --- | --- |
| 1 | 518.2 | 6.82 |
| 2 | 452.9 | 6.51 |
| 3 | 347.9 | 6.59 |
| 4 | 215.9 | 6.75 |
| 5 | 493.3 | 5.67 |
| 6 | 221.2 | 6.35 |
| 7 | 365.6 | 5.99 |
| 8 | 241.7 | 5.67 |
| 9 | 250.4 | 6.19 |
| 10 | 498.5 | 7.43 |